This record from the Alexandria database describes a geometry-optimized CsK2SrPb structure. The functional is PBE.

Summary:
Energy of formation from the pure elements, kJ per mole of atoms: -5
Crystal system: tetragonal
VASP energy, eV/atom: -1.74

a = 7.096 Å, b = 7.096 Å, c = 6.623 Å
α = 90.00°, β = 90.00°, γ = 90.00°
Sites, in units of the cell vectors:
Pb1 0.000 0.000 0.000
K1 0.500 0.000 0.000
Sr1 0.000 0.000 0.500
K2 0.000 0.500 0.000
Cs1 0.500 0.500 0.500

---

This record from the Alexandria database describes a geometry-optimized CsK2TlPb structure. The functional is PBE.

Summary:
Energy of formation from the pure elements, kJ per mole of atoms: -1
ΔE to the lowest computed polymorph, meV per atom: 0
Crystal system: tetragonal
VASP energy, eV/atom: -1.83

a = 6.981 Å, b = 6.981 Å, c = 6.064 Å
α = 90.00°, β = 90.00°, γ = 90.00°
Sites, in units of the cell vectors:
K1 0.500 0.000 0.000
Tl1 0.000 0.000 0.500
Pb1 0.000 0.000 0.000
Cs1 0.500 0.500 0.500
K2 0.000 0.500 0.000

---

This record from the Alexandria database describes a geometry-optimized Cs4K2TlPb2 structure. The functional is PBE.

Summary:
Energy of formation from the pure elements, kJ per mole of atoms: -4
Crystal system: monoclinic
VASP energy, eV/atom: -1.75

a = 7.377 Å, b = 9.497 Å, c = 9.497 Å
α = 55.60°, β = 73.35°, γ = 73.35°
Sites, in units of the cell vectors:
Cs1 0.223 0.102 0.636
K1 0.251 0.636 0.636
Cs2 0.777 0.898 0.364
Cs3 0.223 0.636 0.102
Pb1 0.762 0.828 0.828
K2 0.749 0.364 0.364
Tl1 0.500 0.000 0.000
Cs4 0.777 0.364 0.898
Pb2 0.238 0.172 0.172

---

This record from the Alexandria database describes a geometry-optimized CsKTlPb structure. The functional is PBE.

Summary:
Energy of formation from the pure elements, kJ per mole of atoms: -8
ΔE to the lowest computed polymorph, meV per atom: 0
Crystal system: monoclinic
VASP energy, eV/atom: -2.09

a = 5.550 Å, b = 5.550 Å, c = 7.871 Å
α = 90.09°, β = 110.58°, γ = 119.94°
Sites, in units of the cell vectors:
Pb1 0.798 0.264 0.061
Tl1 0.523 0.626 0.149
Cs1 0.386 0.058 0.445
K1 0.985 0.857 0.842